# 1
{
  "formula": "Pm2MgCo2",
  "functional": "PBE",
  "state": "relaxed",
  "lattice_angstrom": [[3.926, 0.000, 0.000], [0.000, 14.127, 0.000], [0.000, 0.000, 4.072]],
  "species": ["Pm", "Pm", "Pm", "Pm", "Mg", "Mg", "Co", "Co", "Co", "Co"],
  "frac_coords": [[0.000, 0.139, 0.000], [0.000, 0.861, 0.000], [0.500, 0.361, 0.000], [0.500, 0.639, 0.000], [0.000, 0.500, 0.500], [0.500, 0.000, 0.500], [0.000, 0.289, 0.500], [0.000, 0.711, 0.500], [0.500, 0.211, 0.500], [0.500, 0.789, 0.500]],
  "e_form_ev_per_fu": -0.6,
  "volume_a3_per_atom": 22.582,
  "sg": "Cmmm",
  "de_polymorph_mev_per_atom": 0.0,
  "dos_ef_per_ev_fu": 5.1
}


# 2
{
  "formula": "Pr2Al4AgHg3",
  "functional": "PBE",
  "state": "relaxed",
  "lattice_angstrom": [[4.452, 0.000, 0.000], [0.000, 4.452, 0.000], [0.000, 0.000, 11.193]],
  "species": ["Pr", "Pr", "Al", "Al", "Al", "Al", "Ag", "Hg", "Hg", "Hg"],
  "frac_coords": [[0.000, 0.500, 0.246], [0.500, 0.000, 0.754], [0.000, 0.000, 0.500], [0.000, 0.500, 0.869], [0.500, 0.000, 0.131], [0.500, 0.500, 0.500], [0.500, 0.500, 0.000], [0.000, 0.000, 0.000], [0.000, 0.500, 0.638], [0.500, 0.000, 0.362]],
  "e_form_ev_per_fu": -3.5,
  "volume_a3_per_atom": 22.181,
  "sg": "P-4m2",
  "dos_ef_per_ev_fu": 4.5
}


# 3
{
  "formula": "LaPm3Cd4",
  "functional": "PBE",
  "state": "relaxed",
  "lattice_angstrom": [[10.868, 0.000, 0.000], [0.000, 7.775, 0.000], [0.000, 0.000, 5.434]],
  "species": ["La", "La", "Pm", "Pm", "Pm", "Pm", "Pm", "Pm", "Cd", "Cd", "Cd", "Cd", "Cd", "Cd", "Cd", "Cd"],
  "frac_coords": [[0.000, 0.000, 0.000], [0.500, 0.000, 0.000], [0.000, 0.500, 0.000], [0.250, 0.000, 0.497], [0.250, 0.500, 0.497], [0.500, 0.500, 0.000], [0.750, 0.000, 0.503], [0.750, 0.500, 0.503], [0.000, 0.256, 0.500], [0.000, 0.744, 0.500], [0.250, 0.256, 0.996], [0.250, 0.744, 0.996], [0.500, 0.256, 0.500], [0.500, 0.744, 0.500], [0.750, 0.256, 0.004], [0.750, 0.744, 0.004]],
  "e_form_ev_per_fu": -2.6,
  "volume_a3_per_atom": 28.698,
  "sg": "Pmma",
  "dos_ef_per_ev_fu": 9.2
}


# 4
{
  "formula": "HRu",
  "functional": "PBE",
  "state": "relaxed",
  "lattice_angstrom": [[0.000, 2.966, 4.046], [2.834, 0.000, 4.046], [2.834, 2.966, 0.000]],
  "species": ["H", "H", "H", "H", "Ru", "Ru", "Ru", "Ru"],
  "frac_coords": [[0.014, 0.014, 0.236], [0.236, 0.236, 0.014], [0.764, 0.764, 0.986], [0.986, 0.986, 0.764], [0.153, 0.597, 0.153], [0.403, 0.847, 0.403], [0.597, 0.153, 0.597], [0.847, 0.403, 0.847]],
  "energy_ev_per_fu": -12.2,
  "volume_a3_per_atom": 8.503,
  "sg": "Fddd",
  "dos_ef_per_ev_fu": 1.3
}


# 5
{
  "formula": "K2CaTa",
  "functional": "PBE",
  "state": "relaxed",
  "lattice_angstrom": [[3.260, 0.000, 0.000], [0.000, 7.077, 0.000], [0.000, 0.000, 13.884]],
  "species": ["K", "K", "K", "K", "Ca", "Ca", "Ta", "Ta"],
  "frac_coords": [[0.000, 0.000, 0.000], [0.000, 0.500, 0.218], [0.500, 0.000, 0.718], [0.500, 0.500, 0.500], [0.000, 0.000, 0.424], [0.500, 0.500, 0.924], [0.000, 0.500, 0.736], [0.500, 0.000, 0.236]],
  "e_form_ev_per_fu": 4.7,
  "volume_a3_per_atom": 40.037,
  "sg": "Imm2",
  "de_polymorph_mev_per_atom": 305.2,
  "dos_ef_per_ev_fu": 4.2
}


# 6
{
  "formula": "Sm2ErPt",
  "functional": "PBE",
  "state": "relaxed",
  "lattice_angstrom": [[3.827, 0.000, 0.000], [0.000, 12.052, 0.000], [0.000, 0.000, 9.784]],
  "species": ["Sm", "Sm", "Sm", "Sm", "Sm", "Sm", "Sm", "Sm", "Er", "Er", "Er", "Er", "Pt", "Pt", "Pt", "Pt"],
  "frac_coords": [[0.000, 0.136, 0.064], [0.000, 0.136, 0.436], [0.000, 0.864, 0.564], [0.000, 0.864, 0.936], [0.500, 0.364, 0.564], [0.500, 0.364, 0.936], [0.500, 0.636, 0.064], [0.500, 0.636, 0.436], [0.000, 0.422, 0.250], [0.000, 0.578, 0.750], [0.500, 0.078, 0.750], [0.500, 0.922, 0.250], [0.000, 0.259, 0.750], [0.000, 0.741, 0.250], [0.500, 0.241, 0.250], [0.500, 0.759, 0.750]],
  "e_form_ev_per_fu": -2.5,
  "volume_a3_per_atom": 28.206,
  "sg": "Cmcm",
  "de_polymorph_mev_per_atom": 39.9,
  "dos_ef_per_ev_fu": 5.0
}


# 7
{
  "formula": "PuZnIrRu",
  "functional": "PBE",
  "state": "relaxed",
  "lattice_angstrom": [[6.444, 0.000, 0.000], [0.000, 6.444, 0.000], [0.000, 0.000, 6.444]],
  "species": ["Pu", "Pu", "Pu", "Pu", "Zn", "Zn", "Zn", "Zn", "Ir", "Ir", "Ir", "Ir", "Ru", "Ru", "Ru", "Ru"],
  "frac_coords": [[0.000, 0.000, 0.000], [0.000, 0.500, 0.500], [0.500, 0.000, 0.500], [0.500, 0.500, 0.000], [0.000, 0.000, 0.500], [0.000, 0.500, 0.000], [0.500, 0.000, 0.000], [0.500, 0.500, 0.500], [0.250, 0.250, 0.750], [0.250, 0.750, 0.250], [0.750, 0.250, 0.250], [0.750, 0.750, 0.750], [0.250, 0.250, 0.250], [0.250, 0.750, 0.750], [0.750, 0.250, 0.750], [0.750, 0.750, 0.250]],
  "e_form_ev_per_fu": -1.1,
  "volume_a3_per_atom": 16.721,
  "sg": "F-43m",
  "dos_ef_per_ev_fu": 2.4
}


# 8
{
  "formula": "ZrZnSe2Br",
  "functional": "PBE",
  "state": "relaxed",
  "lattice_angstrom": [[5.227, 0.000, 0.000], [0.000, 5.227, 0.000], [0.000, 0.000, 5.420]],
  "species": ["Zr", "Zn", "Se", "Se", "Br"],
  "frac_coords": [[0.000, 0.000, 0.000], [0.500, 0.500, 0.500], [0.000, 0.500, 0.000], [0.500, 0.000, 0.000], [0.000, 0.000, 0.500]],
  "volume_a3_per_atom": 29.616,
  "sg": "P4/mmm",
  "de_polymorph_mev_per_atom": 0.0,
  "raw_formation_energy_kj_per_mol_atoms": -48.1,
  "dos_ef_per_ev_fu": 3.5
}